Entry 1:
# YTiTe2N | Alexandria via LeMat-Bulk | GGA-PBE | optimized geometry
# Final energy ... -32.094 eV for the cell shown
# Formation energy without anion corrections ... -0.625 eV/atom
# Calculated volume ... 23.3 A^3/atom
# Crystal system ... tetragonal
# Fermi-level density of states ... 0.430 states/eV/atom
# Energy above the most stable polymorph in this dataset ... 0.0 meV per atom
data_YTiTe2N
_space_group_name_H-M_alt 'P 4/m m m'
_space_group_IT_number 123
_space_group_name_Hall '-P 4 2'
_cell_length_a 5.524
_cell_length_b 5.524
_cell_length_c 3.820
_cell_angle_alpha 90.00
_cell_angle_beta 90.00
_cell_angle_gamma 90.00
loop_
_atom_site_label
_atom_site_type_symbol
_atom_site_fract_x
_atom_site_fract_y
_atom_site_fract_z
_atom_site_occupancy
Y1 Y 0.000 0.000 0.000 1
Ti1 Ti 0.500 0.500 0.500 1
Te1 Te 0.000 0.500 0.500 1
N1 N 0.500 0.500 0.000 1



Entry 2:
# YTiTe2N | Alexandria via LeMat-Bulk | GGA-PBE | optimized geometry
# Final energy ... -27.284 eV for the cell shown
# Formation energy without anion corrections ... 0.337 eV/atom
# Calculated volume ... 29.6 A^3/atom
# Crystal system ... tetragonal
# Fermi-level density of states ... 1.256 states/eV/atom
# Energy above the most stable polymorph in this dataset ... 962.1 meV per atom
data_YTiTe2N
_space_group_name_H-M_alt 'P 4/m m m'
_space_group_IT_number 123
_space_group_name_Hall '-P 4 2'
_cell_length_a 5.889
_cell_length_b 5.889
_cell_length_c 4.264
_cell_angle_alpha 90.00
_cell_angle_beta 90.00
_cell_angle_gamma 90.00
loop_
_atom_site_label
_atom_site_type_symbol
_atom_site_fract_x
_atom_site_fract_y
_atom_site_fract_z
_atom_site_occupancy
Y1 Y 0.000 0.000 0.000 1
Ti1 Ti 0.500 0.500 0.500 1
Te1 Te 0.000 0.500 0.000 1
N1 N 0.000 0.000 0.500 1



Entry 3:
# TiZnTeN2 | Alexandria via LeMat-Bulk | GGA-PBE | optimized geometry
# Final energy ... -22.399 eV for the cell shown
# Formation energy without anion corrections ... 1.312 eV/atom
# Calculated volume ... 16.5 A^3/atom
# Crystal system ... tetragonal
# Fermi-level density of states ... 0.997 states/eV/atom
# Energy above the most stable polymorph in this dataset ... 1031.6 meV per atom
data_TiZnTeN2
_space_group_name_H-M_alt 'P 4/m m m'
_space_group_IT_number 123
_space_group_name_Hall '-P 4 2'
_cell_length_a 3.914
_cell_length_b 3.914
_cell_length_c 5.396
_cell_angle_alpha 90.00
_cell_angle_beta 90.00
_cell_angle_gamma 90.00
loop_
_atom_site_label
_atom_site_type_symbol
_atom_site_fract_x
_atom_site_fract_y
_atom_site_fract_z
_atom_site_occupancy
Ti1 Ti 0.000 0.000 0.000 1
Zn1 Zn 0.500 0.500 0.500 1
Te1 Te 0.500 0.500 0.000 1
N1 N 0.000 0.500 0.500 1



Entry 4:
# TiZnTeN2 | Alexandria via LeMat-Bulk | GGA-PBE | optimized geometry
# Final energy ... -27.557 eV for the cell shown
# Formation energy without anion corrections ... 0.281 eV/atom
# Calculated volume ... 18.0 A^3/atom
# Crystal system ... tetragonal
# Fermi-level density of states ... 0.549 states/eV/atom
# Energy above the most stable polymorph in this dataset ... 0.0 meV per atom
data_TiZnTeN2
_space_group_name_H-M_alt 'P 4/m m m'
_space_group_IT_number 123
_space_group_name_Hall '-P 4 2'
_cell_length_a 3.896
_cell_length_b 3.896
_cell_length_c 5.934
_cell_angle_alpha 90.00
_cell_angle_beta 90.00
_cell_angle_gamma 90.00
loop_
_atom_site_label
_atom_site_type_symbol
_atom_site_fract_x
_atom_site_fract_y
_atom_site_fract_z
_atom_site_occupancy
Ti1 Ti 0.000 0.000 0.000 1
Zn1 Zn 0.500 0.500 0.500 1
Te1 Te 0.000 0.000 0.500 1
N1 N 0.000 0.500 0.000 1



Entry 5:
# ZrTiTeN2 | Alexandria via LeMat-Bulk | GGA-PBE | optimized geometry
# Final energy ... -34.297 eV for the cell shown
# Formation energy without anion corrections ... 0.388 eV/atom
# Calculated volume ... 20.0 A^3/atom
# Crystal system ... tetragonal
# Fermi-level density of states ... 1.400 states/eV/atom
# Energy above the most stable polymorph in this dataset ... 266.7 meV per atom
data_ZrTiTeN2
_space_group_name_H-M_alt 'P 4/m m m'
_space_group_IT_number 123
_space_group_name_Hall '-P 4 2'
_cell_length_a 4.141
_cell_length_b 4.141
_cell_length_c 5.845
_cell_angle_alpha 90.00
_cell_angle_beta 90.00
_cell_angle_gamma 90.00
loop_
_atom_site_label
_atom_site_type_symbol
_atom_site_fract_x
_atom_site_fract_y
_atom_site_fract_z
_atom_site_occupancy
Zr1 Zr 0.000 0.000 0.000 1
Ti1 Ti 0.500 0.500 0.500 1
Te1 Te 0.000 0.000 0.500 1
N1 N 0.000 0.500 0.000 1



Entry 6:
# ZrTiTeN2 | Alexandria via LeMat-Bulk | GGA-PBE | optimized geometry
# Final energy ... -35.631 eV for the cell shown
# Formation energy without anion corrections ... 0.121 eV/atom
# Calculated volume ... 17.2 A^3/atom
# Crystal system ... tetragonal
# Fermi-level density of states ... 0.775 states/eV/atom
# Energy above the most stable polymorph in this dataset ... 0.0 meV per atom
data_ZrTiTeN2
_space_group_name_H-M_alt 'P 4/m m m'
_space_group_IT_number 123
_space_group_name_Hall '-P 4 2'
_cell_length_a 4.019
_cell_length_b 4.019
_cell_length_c 5.337
_cell_angle_alpha 90.00
_cell_angle_beta 90.00
_cell_angle_gamma 90.00
loop_
_atom_site_label
_atom_site_type_symbol
_atom_site_fract_x
_atom_site_fract_y
_atom_site_fract_z
_atom_site_occupancy
Zr1 Zr 0.000 0.000 0.000 1
Ti1 Ti 0.500 0.500 0.500 1
Te1 Te 0.500 0.500 0.000 1
N1 N 0.000 0.500 0.500 1



What is the formula in the fifth record?
ZrTiTeN2